Entry i
Below is an optimized crystal structure of Sm3TeIr, with properties calculated at the GGA-PBE level.

Cell and atoms, written as extended XYZ:
```
20
Lattice="7.773 0.000 0.000 0.000 4.384 0.000 0.000 0.000 16.875" Properties=species:S:1:pos:R:3 pbc="T T T"
Sm 0.106 1.096 1.529
Sm 1.058 3.288 7.544
Sm 1.377 1.096 11.910
Sm 2.509 3.288 3.472
Sm 2.829 1.096 15.982
Sm 3.780 3.288 9.967
Sm 3.993 1.096 6.908
Sm 4.944 3.288 0.893
Sm 5.264 1.096 13.404
Sm 6.396 3.288 4.966
Sm 6.715 1.096 9.331
Sm 7.667 3.288 15.346
Te 0.946 1.096 5.039
Te 2.941 3.288 13.476
Te 4.832 1.096 3.399
Te 6.827 3.288 11.837
Ir 1.868 3.288 0.702
Ir 2.018 1.096 9.139
Ir 5.755 3.288 7.736
Ir 5.904 1.096 16.174
```

N(E_F) in states/eV/cell: 13.4
Density in g/cm3: 8.90
V in Å³ per cell: 575.0

Entry ii
Below is an optimized crystal structure of Sm3TeIr, with properties calculated at the GGA-PBE level.

Cell and atoms, written as extended XYZ:
```
20
Lattice="7.862 -5.936 0.000 7.862 5.936 0.000 -1.214 0.000 7.030" Properties=species:S:1:pos:R:3 pbc="T T T"
Sm 0.986 0.794 3.233
Sm 6.252 2.956 0.283
Sm 0.378 -0.794 6.748
Sm 5.653 1.041 3.891
Sm 8.865 2.956 3.232
Sm 6.261 -1.041 0.376
Sm 8.250 1.041 6.654
Sm 5.645 -2.956 3.798
Sm 8.857 -1.041 3.139
Sm 14.132 0.794 0.282
Sm 8.258 -2.956 6.747
Sm 13.525 -0.794 3.797
Te 2.870 1.104 5.786
Te 3.477 -1.104 2.271
Te 11.033 1.104 4.759
Te 11.640 -1.104 1.244
Ir 6.952 3.214 5.273
Ir 7.559 1.021 1.758
Ir 6.952 -1.021 5.273
Ir 7.559 -3.214 1.758
```

N(E_F) in states/eV/cell: 9.1
Density in g/cm3: 7.80
V in Å³ per cell: 656.2

Decreasing stability: entry i, entry ii